Record 1
Computed, not measured: a relaxed structure of CeNd4Bi5 at the PBE level of DFT.

Lattice parameters (Å, degrees): 4.6075 6.5097 12.1904 105.49 100.89 90.00
Positions (direct):
Nd 0.7995 0.7995 0.5990
Nd 0.3993 0.3993 0.7987
Nd 0.2005 0.2005 0.4010
Nd 0.6007 0.6007 0.2013
Ce 0.0000 0.0000 0.0000
Bi 0.0000 0.5000 0.0000
Bi 0.5989 0.0989 0.1979
Bi 0.7998 0.2998 0.5996
Bi 0.4011 0.9011 0.8021
Bi 0.2002 0.7002 0.4004

Properties
The energy above the lowest structure with this stoichiometry is 0 meV/atom. The value obtained for the formation energy from the elements is -0.922 eV per atom. The value obtained for the total energy is -53.63 eV per cell.

=====

Record 2
Computed, not measured: a relaxed structure of NdMgCoCu at the PBE level of DFT.

Lattice parameters (Å, degrees): 4.7310 4.7310 4.7310 60.00 60.00 60.00
Positions (direct):
Cu 0.2500 0.2500 0.2500
Mg 0.5000 0.5000 0.5000
Co 0.7500 0.7500 0.7500
Nd 0.0000 0.0000 0.0000

Properties
The value obtained for the formation energy from the elements is 0.030 eV per atom. The value obtained for the total energy is -17.44 eV per cell.

=====

Record 3
Computed, not measured: a relaxed structure of Sm4Dy4Tm5 at the PBE level of DFT.

Lattice parameters (Å, degrees): 5.0050 9.3898 9.3898 85.93 74.54 74.54
Positions (direct):
Sm 0.3830 0.6953 0.5388
Sm 0.9218 0.4612 0.6953
Sm 0.0782 0.5388 0.3047
Sm 0.6170 0.3047 0.4612
Tm 0.6897 0.8489 0.7717
Tm 0.5386 0.7717 0.1511
Tm 0.0000 0.0000 0.0000
Tm 0.3103 0.1511 0.2283
Tm 0.4614 0.2283 0.8489
Dy 0.7708 0.3822 0.0761
Dy 0.1531 0.0761 0.6178
Dy 0.2292 0.6178 0.9239
Dy 0.8469 0.9239 0.3822

Properties
The value obtained for the formation energy from the elements is 0.021 eV per atom. The value obtained for the total energy is -59.37 eV per cell.

=====

Record 4
Computed, not measured: a relaxed structure of SnGeIr2 at the PBE level of DFT.

Lattice parameters (Å, degrees): 5.7976 5.7976 6.9735 65.44 65.44 90.00
Positions (direct):
Sn 0.0000 0.0000 0.0000
Sn 0.7500 0.2500 0.5000
Ir 0.3750 0.4060 0.7500
Ir 0.5940 0.1250 0.2500
Ir 0.1560 0.6250 0.2500
Ir 0.8750 0.8440 0.7500
Ge 0.2500 0.7500 0.5000
Ge 0.5000 0.5000 0.0000

Properties
The energy above the lowest structure with this stoichiometry is 396 meV/atom. The value obtained for the formation energy from the elements is 0.298 eV per atom. The value obtained for the total energy is -50.30 eV per cell.

=====

Record 5
Computed, not measured: a relaxed structure of Tb2Pr5Sm4 at the PBE level of DFT.

Lattice parameters (Å, degrees): 3.5583 9.4178 12.8292 111.53 97.97 90.00
Positions (direct):
Pr 0.5000 0.0000 0.0000
Pr 0.8507 0.0542 0.7013
Pr 0.1493 0.3529 0.2987
Pr 0.1493 0.9458 0.2987
Pr 0.8507 0.6471 0.7013
Sm 0.4038 0.4038 0.8076
Sm 0.0000 0.3041 0.0000
Sm 0.5962 0.5962 0.1924
Sm 0.0000 0.6959 0.0000
Tb 0.7302 0.7302 0.4603
Tb 0.2698 0.2698 0.5397

Properties
The energy above the lowest structure with this stoichiometry is 72 meV/atom. The value obtained for the formation energy from the elements is 0.208 eV per atom. The value obtained for the total energy is -49.75 eV per cell.

=====

Record 6
Computed, not measured: a relaxed structure of TaCo2Ru at the PBE level of DFT.

Lattice parameters (Å, degrees): 3.1272 3.1272 5.5375 90.00 90.00 90.00
Positions (direct):
Ru 0.0000 0.0000 0.4902
Ta 0.5000 0.5000 0.7621
Co 0.0000 0.0000 0.0254
Co 0.5000 0.5000 0.2222

Properties
The energy above the lowest structure with this stoichiometry is 143 meV/atom. The value obtained for the formation energy from the elements is -0.073 eV per atom. The value obtained for the total energy is -35.63 eV per cell.

=====

Record 7
Computed, not measured: a relaxed structure of Mg8Tl2Cu at the PBE level of DFT.

Lattice parameters (Å, degrees): 4.7301 5.9412 9.7603 108.51 104.02 90.00
Positions (direct):
Mg 0.3594 0.7310 0.7187
Mg 0.5826 0.7101 0.1652
Mg 0.4174 0.2899 0.8348
Mg 0.6406 0.2690 0.2813
Mg 0.9772 0.7402 0.9543
Mg 0.0228 0.2598 0.0457
Mg 0.2286 0.1451 0.4572
Mg 0.7714 0.8549 0.5428
Tl 0.1789 0.6123 0.3579
Tl 0.8211 0.3877 0.6421
Cu 0.5000 0.0000 0.0000

Properties
The energy above the lowest structure with this stoichiometry is 16 meV/atom. The value obtained for the formation energy from the elements is -0.001 eV per atom. The value obtained for the total energy is -21.60 eV per cell.

=====

Record 8
Computed, not measured: a relaxed structure of Pm5Hg2Bi2 at the PBE level of DFT.

Lattice parameters (Å, degrees): 8.2578 8.3884 9.1507 117.28 90.00 90.00
Positions (direct):
Bi 0.0000 0.7954 0.5909
Bi 0.0000 0.2046 0.4091
Bi 0.5000 0.7046 0.4091
Bi 0.5000 0.2954 0.5909
Pm 0.6631 0.3025 0.2675
Pm 0.8369 0.5350 0.7325
Pm 0.8369 0.8025 0.2675
Pm 0.1631 0.4650 0.2675
Pm 0.6631 0.0350 0.7325
Pm 0.3369 0.9650 0.2675
Pm 0.1631 0.1975 0.7325
Pm 0.0000 0.0000 0.0000
Pm 0.3369 0.6975 0.7325
Pm 0.5000 0.5000 0.0000
Hg 0.3707 0.1327 0.0000
Hg 0.8707 0.3673 0.0000
Hg 0.1293 0.6327 0.0000
Hg 0.6293 0.8673 0.0000

Properties
The value obtained for the formation energy from the elements is -0.617 eV per atom. The value obtained for the total energy is -75.35 eV per cell.

=====

Record 9
Computed, not measured: a relaxed structure of MgTaAl3 at the PBE level of DFT.

Lattice parameters (Å, degrees): 4.7379 4.7379 4.7379 90.00 90.00 90.00
Positions (direct):
Ta 0.5000 0.5000 0.5000
Al 0.5000 0.0000 0.0000
Al 0.0000 0.0000 0.5000
Al 0.0000 0.5000 0.0000
Mg 0.0000 0.0000 0.0000

Properties
The energy above the lowest structure with this stoichiometry is 663 meV/atom. The value obtained for the formation energy from the elements is 1.428 eV per atom. The value obtained for the total energy is -17.54 eV per cell.

=====

Record 10
Computed, not measured: a relaxed structure of Cd2FeTe at the PBE level of DFT.

Lattice parameters (Å, degrees): 7.1975 7.1975 4.2521 72.98 72.98 24.75
Positions (direct):
Te 0.2500 0.2500 0.2500
Cd 0.4384 0.4384 0.5612
Cd 0.0616 0.0616 0.9388
Fe 0.7500 0.7500 0.7500

Properties
The calculation puts the formation energy without anion corrections at 229 meV/atom. The value obtained for the total energy is -12.52 eV per cell.

=====

Record 11
Computed, not measured: a relaxed structure of CsNa2HAu at the PBE level of DFT.

Lattice parameters (Å, degrees): 4.8612 4.8612 5.9461 90.00 90.00 90.00
Positions (direct):
Au 0.5000 0.5000 0.5000
Cs 0.0000 0.0000 0.5000
Na 0.0000 0.5000 0.0000
Na 0.5000 0.0000 0.0000
H 0.0000 0.0000 0.0000

Properties
The value obtained for the total energy is -10.60 eV per cell.

=====

Record 12
Computed, not measured: a relaxed structure of NdErCl2 at the PBE level of DFT.

Lattice parameters (Å, degrees): 3.6342 3.6342 9.7314 79.24 79.24 60.00
Positions (direct):
Nd 0.5000 0.5000 0.5000
Cl 0.0937 0.0937 0.7190
Cl 0.9063 0.9063 0.2810
Er 0.0000 0.0000 0.0000

Properties
The calculation puts the formation energy without anion corrections at -1332 meV/atom. The value obtained for the total energy is -18.35 eV per cell.

=====

Record 13
Computed, not measured: a relaxed structure of LiTaTi3 at the PBE level of DFT.

Lattice parameters (Å, degrees): 4.8924 4.8924 4.8924 90.00 90.00 90.00
Positions (direct):
Ti 0.0000 0.5000 0.0000
Ti 0.5000 0.0000 0.0000
Ti 0.0000 0.0000 0.5000
Ta 0.0000 0.0000 0.0000
Li 0.5000 0.5000 0.5000

Properties
The energy above the lowest structure with this stoichiometry is 104 meV/atom. The value obtained for the formation energy from the elements is 1.022 eV per atom. The value obtained for the total energy is -32.34 eV per cell.

=====

Record 14
Computed, not measured: a relaxed structure of RbAc2HgTe4 at the PBE level of DFT.

Lattice parameters (Å, degrees): 5.0957 8.3181 16.4402 90.00 90.00 107.84
Positions (direct):
Te 0.0000 0.0000 0.5000
Te 0.7392 0.4784 0.6110
Te 0.7392 0.4784 0.8890
Te 0.0000 0.0000 0.0000
Te 0.4521 0.9043 0.7500
Te 0.2608 0.5216 0.3890
Te 0.2608 0.5216 0.1110
Te 0.5479 0.0957 0.2500
Hg 0.1289 0.2578 0.2500
Hg 0.8711 0.7422 0.7500
Ac 0.6303 0.2607 0.0616
Ac 0.3697 0.7393 0.5616
Ac 0.3697 0.7393 0.9384
Ac 0.6303 0.2607 0.4384
Rb 0.1267 0.2533 0.7500
Rb 0.8733 0.7467 0.2500

Properties
The calculation puts the formation energy without anion corrections at -1156 meV/atom. The value obtained for the total energy is -62.61 eV per cell.

=====

Record 15
Computed, not measured: a relaxed structure of RbCo at the PBE level of DFT.

Lattice parameters (Å, degrees): 10.2145 15.8340 6.4354 90.00 90.00 90.00
Positions (direct):
Rb 0.0816 0.7500 0.7500
Rb 0.8316 0.5000 0.0000
Rb 0.4184 0.2500 0.2500
Rb 0.5816 0.2500 0.7500
Rb 0.9184 0.7500 0.2500
Rb 0.8316 0.0000 0.5000
Rb 0.1684 0.5000 0.0000
Rb 0.1684 0.0000 0.5000
Rb 0.3316 0.0000 0.0000
Rb 0.5816 0.7500 0.2500
Rb 0.9184 0.2500 0.7500
Rb 0.6684 0.0000 0.0000
Rb 0.6684 0.5000 0.5000
Rb 0.0816 0.2500 0.2500
Rb 0.3316 0.5000 0.5000
Rb 0.4184 0.7500 0.7500
Co 0.7500 0.6834 0.7500
Co 0.2500 0.6834 0.2500
Co 0.5000 0.4334 0.0000
Co 0.0000 0.0666 0.0000
Co 0.5000 0.9334 0.5000
Co 0.5000 0.0666 0.5000
Co 0.5000 0.5666 0.0000
Co 0.7500 0.1834 0.2500
Co 0.7500 0.3166 0.2500
Co 0.7500 0.8166 0.7500
Co 0.2500 0.8166 0.2500
Co 0.0000 0.5666 0.5000
Co 0.0000 0.9334 0.0000
Co 0.0000 0.4334 0.5000
Co 0.2500 0.3166 0.7500
Co 0.2500 0.1834 0.7500

Properties
The energy above the lowest structure with this stoichiometry is 422 meV/atom. The value obtained for the formation energy from the elements is 1.100 eV per atom. The value obtained for the total energy is -93.98 eV per cell.

=====

Record 16
Computed, not measured: a relaxed structure of Ca2Cd3Sn3 at the PBE level of DFT.

Lattice parameters (Å, degrees): 4.8216 4.6473 9.1422 90.00 90.00 90.00
Positions (direct):
Ca 0.0000 0.0000 0.2526
Ca 0.0000 0.0000 0.7474
Sn 0.5000 0.0000 0.5000
Sn 0.0000 0.5000 0.5000
Sn 0.0000 0.5000 0.0000
Cd 0.5000 0.0000 0.0000
Cd 0.5000 0.5000 0.2455
Cd 0.5000 0.5000 0.7545

Properties
The value obtained for the formation energy from the elements is -0.340 eV per atom. The value obtained for the total energy is -21.48 eV per cell.

=====

Record 17
Computed, not measured: a relaxed structure of NaGe3Rh at the PBE level of DFT.

Lattice parameters (Å, degrees): 4.8824 4.8824 4.8824 90.00 90.00 90.00
Positions (direct):
Ge 0.5000 0.0000 0.0000
Ge 0.0000 0.5000 0.0000
Ge 0.0000 0.0000 0.5000
Na 0.5000 0.5000 0.5000
Rh 0.0000 0.0000 0.0000

Properties
The energy above the lowest structure with this stoichiometry is 304 meV/atom. The value obtained for the formation energy from the elements is 0.156 eV per atom. The value obtained for the total energy is -21.74 eV per cell.

=====

Record 18
Computed, not measured: a relaxed structure of MgRhCl at the PBE level of DFT.

Lattice parameters (Å, degrees): 4.3268 4.3268 4.3268 60.00 60.00 60.00
Positions (direct):
Rh 0.5000 0.5000 0.5000
Mg 0.7500 0.7500 0.7500
Cl 0.2500 0.2500 0.2500

Properties
The energy above the lowest structure with this stoichiometry is 760 meV/atom. The calculation puts the formation energy without anion corrections at 50 meV/atom. The value obtained for the total energy is -10.64 eV per cell.

=====

Record 19
Computed, not measured: a relaxed structure of TaCuSi2 at the PBE level of DFT.

Lattice parameters (Å, degrees): 2.7922 2.7922 7.7939 90.00 90.00 103.67
Positions (direct):
Si 0.0000 0.0000 0.5092
Si 0.0000 0.0000 0.9908
Ta 0.5000 0.5000 0.2500
Cu 0.5000 0.5000 0.7500

Properties
The calculation puts the formation energy without anion corrections at 90 meV/atom. The value obtained for the total energy is -26.43 eV per cell.

=====

Record 20
Computed, not measured: a relaxed structure of Sc2TlCu at the PBE level of DFT.

Lattice parameters (Å, degrees): 4.7727 4.7727 5.9298 76.64 76.64 42.45
Positions (direct):
Sc 0.9858 0.9858 0.0274
Sc 0.5142 0.5142 0.4726
Tl 0.7500 0.7500 0.7500
Cu 0.2500 0.2500 0.2500

Properties
The value obtained for the formation energy from the elements is -0.061 eV per atom. The value obtained for the total energy is -19.37 eV per cell.

=====

Record 21
Computed, not measured: a relaxed structure of Tc2RhBr at the PBE level of DFT.

Lattice parameters (Å, degrees): 5.6786 5.6786 6.7209 65.01 65.01 90.00
Positions (direct):
Rh 0.7500 0.2500 0.5000
Rh 0.0000 0.0000 0.0000
Tc 0.8750 0.8847 0.7500
Tc 0.1153 0.6250 0.2500
Tc 0.6347 0.1250 0.2500
Tc 0.3750 0.3653 0.7500
Br 0.2500 0.7500 0.5000
Br 0.5000 0.5000 0.0000

Properties
The energy above the lowest structure with this stoichiometry is 761 meV/atom. The calculation puts the formation energy without anion corrections at 1180 meV/atom. The value obtained for the total energy is -50.07 eV per cell.

=====

Record 22
Computed, not measured: a relaxed structure of Be2TcAs at the PBE level of DFT.

Lattice parameters (Å, degrees): 3.1219 3.1219 4.8979 90.00 90.00 90.00
Positions (direct):
As 0.5000 0.5000 0.7567
Tc 0.0000 0.0000 0.4956
Be 0.0000 0.0000 0.0191
Be 0.5000 0.5000 0.2287

Properties
The value obtained for the formation energy from the elements is -0.061 eV per atom. The value obtained for the total energy is -22.71 eV per cell.

=====

Record 23
Computed, not measured: a relaxed structure of Pu2Co3Cu at the PBE level of DFT.

Lattice parameters (Å, degrees): 5.0998 5.0998 5.0116 90.05 120.58 119.95
Positions (direct):
Co 0.5000 0.5000 0.5000
Co 0.5000 0.0000 0.5000
Co 0.0000 0.0000 0.5000
Pu 0.2482 0.6240 0.8722
Pu 0.7518 0.3760 0.1278
Cu 0.0000 0.0000 0.0000

Properties
The value obtained for the formation energy from the elements is -0.085 eV per atom. The value obtained for the total energy is -54.59 eV per cell.

=====

Record 24
Computed, not measured: a relaxed structure of ScAg2PbBr at the PBE level of DFT.

Lattice parameters (Å, degrees): 5.4266 5.0009 5.4266 90.00 90.00 90.00
Positions (direct):
Sc 0.0000 0.0000 0.0000
Ag 0.0000 0.0000 0.5000
Ag 0.5000 0.0000 0.0000
Pb 0.5000 0.5000 0.5000
Br 0.0000 0.5000 0.0000

Properties
The calculation puts the formation energy without anion corrections at 197 meV/atom. The value obtained for the total energy is -16.43 eV per cell.